Computed, not measured: a relaxed structure of Ac6Co2Ni at the PBE level of DFT.

Structure (POSCAR):
```
Ac6Co2Ni
1.0
7.356 0.000 0.000
-3.678 6.370 0.000
0.000 0.000 6.891
Ac Co Ni
6 2 1
Direct
0.000 0.339 0.226
0.000 0.661 0.774
0.339 0.000 0.226
0.339 0.339 0.774
0.661 0.000 0.774
0.661 0.661 0.226
0.333 0.667 0.000
0.667 0.333 0.000
0.000 0.000 0.000
```

**Calculated total energy**: -45.41 eV per cell
**Energy of formation from the pure elements**: -0.085 eV per atom
**Volume**: 322.9 Å³/f.u.